VASP calculation (PBE-GGA) on a geometry-optimized Zr3Ti5H12 structure.

Results
- E_tot: -5.712 eV per atom
- Space group: Ia-3d (230)

abc: 9.854 9.854 9.854
angles: 109.47 109.47 109.47
Element x y z (fractional)
H 0.837 0.916 0.055
H 0.055 0.639 0.718
Ti 0.000 0.500 0.500
Zr 0.250 0.125 0.375
Zr 0.250 0.625 0.875
H 0.584 0.639 0.421
Ti 0.500 0.000 0.000
H 0.782 0.445 0.361
H 0.416 0.055 0.337
H 0.337 0.555 0.416
Ti 0.000 0.000 0.500
H 0.421 0.139 0.584
Zr 0.875 0.750 0.125
Ti 0.875 0.250 0.625
H 0.282 0.861 0.945
H 0.639 0.055 0.218
H 0.861 0.579 0.916
H 0.921 0.084 0.639
H 0.421 0.282 0.337
Ti 0.375 0.250 0.125
Ti 0.375 0.125 0.750
H 0.639 0.584 0.921
H 0.718 0.139 0.055
H 0.361 0.416 0.079
H 0.663 0.445 0.584
H 0.555 0.218 0.139
H 0.416 0.361 0.579
Ti 0.625 0.750 0.875
H 0.945 0.584 0.163
Ti 0.125 0.750 0.375
H 0.916 0.837 0.555
H 0.837 0.921 0.282
H 0.921 0.837 0.782
Ti 0.750 0.125 0.875
Zr 0.375 0.750 0.625
H 0.579 0.861 0.416
Ti 0.750 0.625 0.375
Ti 0.250 0.875 0.125
H 0.139 0.718 0.555
H 0.445 0.663 0.084
Ti 0.250 0.375 0.625
H 0.663 0.218 0.579
Zr 0.125 0.875 0.750
H 0.163 0.079 0.718
H 0.163 0.084 0.945
H 0.361 0.945 0.782
Ti 0.625 0.875 0.250
Ti 0.000 0.000 0.000
H 0.718 0.579 0.163
H 0.079 0.163 0.218
Zr 0.750 0.875 0.625
H 0.555 0.337 0.916
H 0.337 0.782 0.421
H 0.916 0.079 0.861
H 0.861 0.282 0.445
Ti 0.500 0.500 0.000
H 0.445 0.782 0.861
H 0.218 0.555 0.639
H 0.079 0.916 0.361
Ti 0.875 0.625 0.750
Zr 0.125 0.250 0.875
Zr 0.625 0.250 0.375
Zr 0.625 0.375 0.750
Ti 0.125 0.375 0.250
H 0.218 0.663 0.079
Zr 0.875 0.125 0.250
H 0.084 0.921 0.139
Ti 0.500 0.000 0.500
H 0.282 0.421 0.837
H 0.139 0.421 0.084
H 0.782 0.337 0.921
H 0.584 0.945 0.663
H 0.084 0.163 0.445
Zr 0.375 0.625 0.250
H 0.945 0.361 0.282
Ti 0.500 0.500 0.500
Ti 0.000 0.500 0.000
H 0.055 0.416 0.837
H 0.579 0.718 0.663
Zr 0.750 0.375 0.125